[1]
The following is a PBEsol calculation of MgTeAs2I after structural relaxation, from Alexandria via LeMat-Bulk.

The total energy comes out at -2.747 eV per atom. The value obtained for the formation energy (no corrections) is 0.697 eV per atom. The calculation puts the total moment at 0.0001 μB/atom. For the volume, the calculation gives 32.55 A^3/atom.

Cell: 5.300 5.300 5.793 Å, 90.00 90.00 90.00°
Fractional coordinates of all 5 atoms:
As1 0.000 0.500 0.000
Mg1 0.500 0.500 0.500
As2 0.500 0.000 0.000
Te1 0.000 0.000 0.000
I1 0.000 0.000 0.500

***

[2]
The following is a PBEsol calculation of MnAs2I after structural relaxation, from Alexandria via LeMat-Bulk.

The total energy comes out at -5.049 eV per atom. The value obtained for the formation energy (no corrections) is 0.386 eV per atom. The calculation puts the total moment at 0.3611 μB/atom. For the volume, the calculation gives 26.45 A^3/atom.

Cell: 6.179 6.179 7.057 Å, 115.96 115.96 90.00°
Last column: magnetic moment on the atom in μB.
Fractional coordinates of all 8 atoms:
As1 0.125 0.247 0.750  -0.11
As2 0.625 0.503 0.750  -0.11
I1 0.250 0.750 0.500  -0.01
I2 0.000 0.000 0.000  -0.01
Mn1 0.750 0.250 0.500  1.70
Mn2 0.500 0.500 0.000  1.70
As3 0.497 0.875 0.250  -0.11
As4 0.753 0.375 0.250  -0.11

***

[3]
The following is a PBEsol calculation of MnAsI2N after structural relaxation, from Alexandria via LeMat-Bulk.

The total energy comes out at -4.524 eV per atom. The value obtained for the formation energy (no corrections) is 0.861 eV per atom. The calculation puts the total moment at 0.9715 μB/atom. For the volume, the calculation gives 24.57 A^3/atom.

Cell: 3.656 5.797 5.797 Å, 90.00 90.00 90.00°
Last column: magnetic moment on the atom in μB.
Fractional coordinates of all 5 atoms:
As1 0.000 0.000 0.000  0.00
I1 0.000 0.500 0.000  0.03
I2 0.000 0.000 0.500  0.03
Mn1 0.500 0.500 0.500  4.36
N1 0.500 0.000 0.000  0.01

***

[4]
The following is a PBEsol calculation of MnTeAsI2 after structural relaxation, from Alexandria via LeMat-Bulk.

The total energy comes out at -3.866 eV per atom. The value obtained for the formation energy (no corrections) is 0.520 eV per atom. The calculation puts the total moment at 0.5655 μB/atom. For the volume, the calculation gives 28.71 A^3/atom.

Cell: 5.422 5.145 5.145 Å, 90.00 90.00 90.00°
Last column: magnetic moment on the atom in μB.
Fractional coordinates of all 5 atoms:
As1 0.500 0.500 0.500  -0.52
Mn1 0.000 0.000 0.000  3.47
Te1 0.500 0.000 0.000  0.08
I1 0.000 0.000 0.500  0.04
I2 0.000 0.500 0.000  0.04

***

[5]
The following is a PBEsol calculation of ZrMn2AsI after structural relaxation, from Alexandria via LeMat-Bulk.

The total energy comes out at -6.244 eV per atom. The value obtained for the formation energy (no corrections) is 0.853 eV per atom. The calculation puts the total moment at 1.0316 μB/atom. For the volume, the calculation gives 22.43 A^3/atom.

Cell: 4.475 4.475 5.600 Å, 90.00 90.00 90.00°
Last column: magnetic moment on the atom in μB.
Fractional coordinates of all 5 atoms:
Mn1 0.500 0.000 0.000  3.31
As1 0.000 0.000 0.000  -0.12
Zr1 0.500 0.500 0.500  -0.89
I1 0.000 0.000 0.500  0.03
Mn2 0.000 0.500 0.000  3.31

***

[6]
The following is a PBEsol calculation of MoAs2I after structural relaxation, from Alexandria via LeMat-Bulk.

The total energy comes out at -5.383 eV per atom. The value obtained for the formation energy (no corrections) is 0.554 eV per atom. The calculation puts the total moment at 0.0001 μB/atom. For the volume, the calculation gives 29.20 A^3/atom.

Cell: 6.554 7.144 6.554 Å, 117.30 90.00 117.30°
Fractional coordinates of all 8 atoms:
As1 0.782 0.250 0.875
Mo1 0.500 0.000 0.500
As2 0.125 0.750 0.532
Mo2 0.750 0.500 0.250
I1 0.000 0.000 0.000
As3 0.468 0.250 0.375
As4 0.625 0.750 0.218
I2 0.250 0.500 0.750

***

[7]
The following is a PBEsol calculation of MoAsI2N after structural relaxation, from Alexandria via LeMat-Bulk.

The total energy comes out at -4.501 eV per atom. The value obtained for the formation energy (no corrections) is 1.286 eV per atom. The calculation puts the total moment at 0.9001 μB/atom. For the volume, the calculation gives 24.25 A^3/atom.

Cell: 3.646 5.766 5.766 Å, 90.00 90.00 90.00°
Last column: magnetic moment on the atom in μB.
Fractional coordinates of all 5 atoms:
As1 0.000 0.000 0.000  0.01
N1 0.500 0.000 0.000  0.02
Mo1 0.500 0.500 0.500  3.79
I1 0.000 0.500 0.000  -0.01
I2 0.000 0.000 0.500  -0.01

***

[8]
The following is a PBEsol calculation of AsI3N after structural relaxation, from Alexandria via LeMat-Bulk.

The total energy comes out at -2.724 eV per atom. The value obtained for the formation energy (no corrections) is 1.063 eV per atom. The calculation puts the total moment at 0.5993 μB/atom. For the volume, the calculation gives 35.37 A^3/atom.

Cell: 5.613 5.613 5.613 Å, 90.00 90.00 90.00°
Last column: magnetic moment on the atom in μB.
Fractional coordinates of all 5 atoms:
I1 0.500 0.000 0.000  0.02
I2 0.000 0.500 0.000  0.02
N1 0.500 0.500 0.500  1.90
I3 0.000 0.000 0.500  0.02
As1 0.000 0.000 0.000  0.00